--- i ---
Compound: Nd2Si3Ir2
Source: Alexandria via LeMat-Bulk
Functional: GGA-PBE
Structure: relaxed

```
Nd2Si3Ir2
1.0
4.1246 0.0000 -0.9834
0.0000 7.0034 0.0000
-0.0038 0.0000 9.1260
Nd Si Ir
4 6 4
Cartesian
0.6349 1.7508 2.6631 Nd
3.4859 5.2525 5.4796 Nd
3.8865 1.7508 7.1597 Nd
0.2344 5.2525 0.9830 Nd
0.9323 5.2525 3.9104 Si
3.1886 1.7508 4.2323 Si
2.3168 3.0162 0.5759 Si
1.8040 3.9872 7.5668 Si
1.8040 6.5179 7.5668 Si
2.3168 0.4855 0.5759 Si
2.8527 6.6493 2.8234 Ir
1.2682 0.3541 5.3193 Ir
1.2682 3.1476 5.3193 Ir
2.8527 3.8557 2.8234 Ir
```

Results
- Calculated density: 9.540 g/cm³

--- ii ---
Compound: Nd2Si3Ir2
Source: Alexandria via LeMat-Bulk
Functional: GGA-PBE
Structure: relaxed

```
Nd2Si3Ir2
1.0
-0.8928 0.4427 3.9029
-4.8330 -1.2031 -3.0478
4.3407 -5.3312 1.5977
Nd Si Ir
2 3 2
Cartesian
-3.2345 -1.7397 1.5361 Nd
1.8493 -4.3519 0.9167 Nd
-0.4464 0.2213 1.9514 Si
-0.0972 -2.3663 2.3248 Si
-1.2879 -3.7253 0.1279 Si
-0.9162 -4.6565 2.3972 Ir
-0.4689 -1.4351 0.0555 Ir
```

Results
- Calculated density: 9.332 g/cm³

It is i that is the most stable of them.